The following is a GGA-PBE calculation of a relaxed La2PmSc crystal, from the Alexandria database.

Unit cell a=3.6198 b=3.6198 c=34.5625 alpha=90.00 beta=90.00 gamma=120.00
Space group R-3m (No. 166, hexagonal axes)
One atom of each set of equivalent atoms:
La 0.0000 0.0000 0.2457
Pm 0.0000 0.0000 0.0000
Sc 0.0000 0.0000 0.5000

Properties
**DOS(E_F)**: 1.329 states/eV/atom
**Energy of formation**: 50 meV/atom
**V**: 32.682 Å³/atom
**Final energy**: -62.21 eV/cell